Below is crystalline TiZnBiO5 at its relaxed geometry, with properties calculated at the PBEsol level.

Unit cell a=5.1887 b=10.7991 c=8.4281 alpha=90.00 beta=106.31 gamma=90.00
Closest atoms and distances in Å follow each position.
Positions (direct):
Ti (0.1213, 0.1174, 0.4351)  4 O 1.85-1.88
Ti (0.1213, 0.3826, 0.9351)  4 O 1.85-1.88
Ti (0.8787, 0.6174, 0.0649)  4 O 1.85-1.88
Ti (0.8787, 0.8826, 0.5649)  4 O 1.85-1.88
Zn (0.4823, 0.6094, 0.3519)  4 O 1.98-2.01
Zn (0.4823, 0.8906, 0.8519)  4 O 1.98-2.01
Zn (0.5177, 0.1094, 0.1481)  4 O 1.98-2.01
Zn (0.5177, 0.3906, 0.6481)  4 O 1.98-2.01
Bi (0.0513, 0.6047, 0.6603)  6 O 2.19-2.29
Bi (0.0513, 0.8953, 0.1603)  6 O 2.19-2.29
Bi (0.9487, 0.1047, 0.8397)  6 O 2.19-2.29
Bi (0.9487, 0.3953, 0.3397)  6 O 2.19-2.29
O (0.1253, 0.0473, 0.6386)  1 Ti 1.87
O (0.1253, 0.4527, 0.1386)  1 Ti 1.87
O (0.1942, 0.6978, 0.1859)  1 Ti 1.88, 1 Zn 1.98
O (0.1942, 0.8022, 0.6859)  1 Ti 1.88, 1 Zn 1.98
O (0.2387, 0.5348, 0.4749)  1 Zn 2.01, 2 Bi 2.19-2.21
O (0.2387, 0.9652, 0.9749)  1 Zn 2.01, 2 Bi 2.19-2.21
O (0.2803, 0.2299, 0.9960)  1 Ti 1.85, 1 Zn 1.99
O (0.2803, 0.2701, 0.4960)  1 Ti 1.85, 1 Zn 1.99
O (0.3161, 0.0480, 0.3039)  1 Ti 1.85, 1 Zn 2.01
O (0.3161, 0.4520, 0.8039)  1 Ti 1.85, 1 Zn 2.01
O (0.6839, 0.5480, 0.1961)  1 Ti 1.85, 1 Zn 2.01
O (0.6839, 0.9520, 0.6961)  1 Ti 1.85, 1 Zn 2.01
O (0.7197, 0.7299, 0.5040)  1 Ti 1.85, 1 Zn 1.99
O (0.7197, 0.7701, 0.0040)  1 Ti 1.85, 1 Zn 1.99
O (0.7613, 0.0348, 0.0251)  1 Zn 2.01, 2 Bi 2.19-2.21
O (0.7613, 0.4652, 0.5251)  1 Zn 2.01, 2 Bi 2.19-2.21
O (0.8058, 0.1978, 0.3141)  1 Ti 1.88, 1 Zn 1.98
O (0.8058, 0.3022, 0.8141)  1 Ti 1.88, 1 Zn 1.98
O (0.8747, 0.5473, 0.8614)  1 Ti 1.87
O (0.8747, 0.9527, 0.3614)  1 Ti 1.87

Calculated values
Relative energy among the computed polymorphs   12.0 kJ/mol of formula units
Formation energy without anion corrections   -41.4 kcal/mol of atoms
Space group   P2_1/c, No. 14